The following is a PBE calculation of an optimized crystal structure of Nb3VMo4, from Alexandria.

a b c (Å): 3.1936 4.5394 9.0310
angles (deg): 90.00 90.00 90.00
Sites, in units of the cell vectors:
Nb 0.0000 0.0000 0.0000
Nb 0.0000 0.5000 0.2549
Nb 0.0000 0.5000 0.7451
V 0.0000 0.0000 0.5000
Mo 0.5000 0.0000 0.2587
Mo 0.5000 0.0000 0.7413
Mo 0.5000 0.5000 0.0000
Mo 0.5000 0.5000 0.5000

## Properties
Total magnetic moment = 0.00 μB/cell
Formation enthalpy at 0 K = -0.117 eV/atom
SG = Pmmm, No. 47

---

The following is a PBE calculation of an optimized crystal structure of Mg4Ga5Pd2, from Alexandria.

a b c (Å): 6.9987 3.0628 9.2752
angles (deg): 90.00 94.45 90.00
Sites, in units of the cell vectors:
Mg 0.1717 0.0000 0.3860
Mg 0.2431 0.0000 0.9473
Mg 0.7569 0.0000 0.0527
Mg 0.8283 0.0000 0.6140
Ga 0.1899 0.5000 0.6668
Ga 0.4469 0.5000 0.1941
Ga 0.5000 0.5000 0.5000
Ga 0.5531 0.5000 0.8059
Ga 0.8101 0.5000 0.3332
Pd 0.0744 0.5000 0.1504
Pd 0.9256 0.5000 0.8496

## Properties
Total magnetic moment = 0.00 μB/cell
Formation enthalpy at 0 K = -0.356 eV/atom
SG = P2/m, No. 10

---

The following is a PBE calculation of an optimized crystal structure of BeVSe, from Alexandria.

a b c (Å): 3.1410 3.5182 9.0033
angles (deg): 90.00 91.54 90.00
Sites, in units of the cell vectors:
Be 0.1801 0.2500 0.1729
Be 0.8199 0.7500 0.8271
V 0.3250 0.2500 0.9163
V 0.6750 0.7500 0.0837
Se 0.2114 0.7500 0.3104
Se 0.7886 0.2500 0.6896

## Properties
Total magnetic moment = 0.00 μB/cell
ΔE to the lowest computed polymorph = 36.0 meV/atom
Formation energy from raw total energies = -335 meV/atom
SG = P2_1/m, No. 11

---

The following is a PBE calculation of an optimized crystal structure of ZrV2Os, from Alexandria.

a b c (Å): 5.7439 5.7439 5.7439
angles (deg): 102.83 102.83 123.77
Sites, in units of the cell vectors:
Zr 0.0000 0.0000 0.0000
Zr 0.7500 0.2500 0.5000
V 0.1662 0.1250 0.5412
V 0.3750 0.8338 0.9588
V 0.5838 0.6250 0.4588
V 0.8750 0.4162 0.0412
Os 0.2500 0.7500 0.5000
Os 0.5000 0.5000 0.0000

## Properties
Total magnetic moment = 0.00 μB/cell
Formation enthalpy at 0 K = 0.334 eV/atom
SG = I-42d, No. 122

---

The following is a PBE calculation of an optimized crystal structure of Co2HgRh, from Alexandria.

a b c (Å): 4.8331 4.8331 4.5678
angles (deg): 106.83 106.83 34.43
Sites, in units of the cell vectors:
Co 0.0000 0.0000 0.0000
Co 0.7118 0.7118 0.2454
Hg 0.2351 0.2351 0.7588
Rh 0.4587 0.4587 0.4440

## Properties
Total magnetic moment = 4.28 μB/cell
Formation enthalpy at 0 K = 0.305 eV/atom
SG = Cm, No. 8

---

The following is a PBE calculation of an optimized crystal structure of LaReB2, from Alexandria.

a b c (Å): 6.3010 6.3010 6.3010
angles (deg): 31.35 31.35 31.35
Sites, in units of the cell vectors:
La 0.0000 0.0000 0.0000
Re 0.5000 0.5000 0.5000
B 0.2242 0.2242 0.2242
B 0.7758 0.7758 0.7758

## Properties
Total magnetic moment = 0.00 μB/cell
ΔE to the lowest computed polymorph = 62.2 meV/atom
Formation enthalpy at 0 K = 0.099 eV/atom
SG = R-3m, No. 166

---

The following is a PBE calculation of an optimized crystal structure of Ca2HoHg3, from Alexandria.

a b c (Å): 3.7767 3.7767 11.1711
angles (deg): 90.00 90.00 90.00
Sites, in units of the cell vectors:
Ca 0.0000 0.0000 0.1688
Ca 0.0000 0.0000 0.8312
Ho 0.0000 0.0000 0.5000
Hg 0.5000 0.5000 0.0000
Hg 0.5000 0.5000 0.3435
Hg 0.5000 0.5000 0.6565

## Properties
Total magnetic moment = 0.00 μB/cell
ΔE to the lowest computed polymorph = 2.4 meV/atom
Formation enthalpy at 0 K = -0.534 eV/atom
SG = P4/mmm, No. 123

---

The following is a PBE calculation of an optimized crystal structure of Cr5Sn3Se12, from Alexandria.

a b c (Å): 13.6597 13.6597 13.6597
angles (deg): 109.47 109.47 109.47
Sites, in units of the cell vectors:
Cr 0.0000 0.0000 0.0000
Cr 0.0000 0.0000 0.5000
Cr 0.0000 0.5000 0.0000
Cr 0.0000 0.5000 0.5000
Cr 0.1250 0.7500 0.8750
Cr 0.1250 0.8750 0.2500
Cr 0.2500 0.1250 0.8750
Cr 0.2500 0.6250 0.3750
Cr 0.3750 0.2500 0.6250
Cr 0.3750 0.6250 0.7500
Cr 0.5000 0.0000 0.0000
Cr 0.5000 0.0000 0.5000
Cr 0.5000 0.5000 0.0000
Cr 0.5000 0.5000 0.5000
Cr 0.6250 0.3750 0.2500
Cr 0.6250 0.7500 0.3750
Cr 0.7500 0.3750 0.6250
Cr 0.7500 0.8750 0.1250
Cr 0.8750 0.1250 0.7500
Cr 0.8750 0.2500 0.1250
Sn 0.1250 0.2500 0.3750
Sn 0.1250 0.3750 0.7500
Sn 0.2500 0.3750 0.1250
Sn 0.2500 0.8750 0.6250
Sn 0.3750 0.1250 0.2500
Sn 0.3750 0.7500 0.1250
Sn 0.6250 0.2500 0.8750
Sn 0.6250 0.8750 0.7500
Sn 0.7500 0.1250 0.3750
Sn 0.7500 0.6250 0.8750
Sn 0.8750 0.6250 0.2500
Sn 0.8750 0.7500 0.6250
Se 0.0230 0.2025 0.1207
Se 0.0230 0.3205 0.9023
Se 0.0818 0.7025 0.6795
Se 0.0818 0.8793 0.4023
Se 0.0977 0.6207 0.4182
Se 0.0977 0.9770 0.6795
Se 0.1207 0.0230 0.2025
Se 0.1207 0.5977 0.9182
Se 0.1795 0.2025 0.5818
Se 0.1795 0.4770 0.5977
Se 0.2025 0.1207 0.0230
Se 0.2025 0.5818 0.1795
Se 0.2975 0.3205 0.9182
Se 0.2975 0.4770 0.3793
Se 0.3205 0.9023 0.0230
Se 0.3205 0.9182 0.2975
Se 0.3793 0.2975 0.4770
Se 0.3793 0.5818 0.9023
Se 0.4023 0.0818 0.8793
Se 0.4023 0.8205 0.5230
Se 0.4182 0.0977 0.6207
Se 0.4182 0.8205 0.7975
Se 0.4770 0.3793 0.2975
Se 0.4770 0.5977 0.1795
Se 0.5230 0.4023 0.8205
Se 0.5230 0.6207 0.7025
Se 0.5818 0.1795 0.2025
Se 0.5818 0.9023 0.3793
Se 0.5977 0.1795 0.4770
Se 0.5977 0.9182 0.1207
Se 0.6207 0.4182 0.0977
Se 0.6207 0.7025 0.5230
Se 0.6795 0.0818 0.7025
Se 0.6795 0.0977 0.9770
Se 0.7025 0.5230 0.6207
Se 0.7025 0.6795 0.0818
Se 0.7975 0.4182 0.8205
Se 0.7975 0.8793 0.9770
Se 0.8205 0.5230 0.4023
Se 0.8205 0.7975 0.4182
Se 0.8793 0.4023 0.0818
Se 0.8793 0.9770 0.7975
Se 0.9023 0.0230 0.3205
Se 0.9023 0.3793 0.5818
Se 0.9182 0.1207 0.5977
Se 0.9182 0.2975 0.3205
Se 0.9770 0.6795 0.0977
Se 0.9770 0.7975 0.8793

## Properties
Total magnetic moment = 48.00 μB/cell
Formation energy from raw total energies = -338 meV/atom
SG = Ia-3d, No. 230

---

The following is a PBE calculation of an optimized crystal structure of YNiTe2, from Alexandria.

a b c (Å): 4.0545 4.0545 6.1909
angles (deg): 90.00 90.00 90.00
Sites, in units of the cell vectors:
Y 0.0000 0.0000 0.0000
Ni 0.5000 0.5000 0.3137
Te 0.0000 0.0000 0.4584
Te 0.5000 0.5000 0.8811

## Properties
Total magnetic moment = 0.00 μB/cell
Formation energy from raw total energies = -610 meV/atom
SG = P4mm, No. 99

---

The following is a PBE calculation of an optimized crystal structure of Ca3Al9Ga2, from Alexandria.

a b c (Å): 8.3920 8.3920 8.3920
angles (deg): 149.05 105.51 82.82
Sites, in units of the cell vectors:
Ca 0.0000 0.0000 0.0000
Ca 0.3074 0.3074 0.0000
Ca 0.6926 0.6926 0.0000
Al 0.0251 0.6546 0.3706
Al 0.1311 0.8556 0.2754
Al 0.2840 0.6546 0.6294
Al 0.4198 0.1444 0.2754
Al 0.5000 0.0000 0.5000
Al 0.5802 0.8556 0.7246
Al 0.7160 0.3454 0.3706
Al 0.8689 0.1444 0.7246
Al 0.9749 0.3454 0.6294
Ga 0.3056 0.5000 0.8056
Ga 0.6944 0.5000 0.1944

## Properties
Total magnetic moment = 0.00 μB/cell
Formation enthalpy at 0 K = -0.226 eV/atom
SG = Immm, No. 71

---

The following is a PBE calculation of an optimized crystal structure of SiTeIr2, from Alexandria.

a b c (Å): 7.1087 7.1087 7.1087
angles (deg): 135.16 135.16 65.28
Sites, in units of the cell vectors:
Si 0.0000 0.0000 0.0000
Si 0.7500 0.2500 0.5000
Te 0.2500 0.7500 0.5000
Te 0.5000 0.5000 0.0000
Ir 0.0823 0.6250 0.9573
Ir 0.3750 0.3323 0.4573
Ir 0.6677 0.1250 0.0427
Ir 0.8750 0.9177 0.5427

## Properties
Total magnetic moment = 0.00 μB/cell
ΔE to the lowest computed polymorph = 230.4 meV/atom
Formation energy from raw total energies = 27 meV/atom
SG = I-42d, No. 122

---

The following is a PBE calculation of an optimized crystal structure of RbLaSe2Br, from Alexandria.

a b c (Å): 5.6754 5.6754 5.6728
angles (deg): 90.00 90.00 90.00
Sites, in units of the cell vectors:
Rb 0.0000 0.0000 0.0000
La 0.5000 0.5000 0.5000
Se 0.0000 0.5000 0.0000
Se 0.5000 0.0000 0.0000
Br 0.0000 0.0000 0.5000

## Properties
Total magnetic moment = 0.22 μB/cell
ΔE to the lowest computed polymorph = 1149.1 meV/atom
Formation energy from raw total energies = -271 meV/atom
SG = P4/mmm, No. 123

---

The following is a PBE calculation of an optimized crystal structure of NaPt2, from Alexandria.

a b c (Å): 11.9931 11.9931 11.9931
angles (deg): 160.24 160.24 28.09
Sites, in units of the cell vectors:
Na 0.2911 0.5411 0.7500
Na 0.4589 0.7089 0.7500
Na 0.5411 0.2911 0.2500
Na 0.7089 0.4589 0.2500
Pt 0.0442 0.7942 0.2500
Pt 0.1241 0.3741 0.7500
Pt 0.2058 0.9558 0.2500
Pt 0.3741 0.1241 0.2500
Pt 0.6259 0.8759 0.7500
Pt 0.7942 0.0442 0.7500
Pt 0.8759 0.6259 0.2500
Pt 0.9558 0.2058 0.7500

## Properties
Total magnetic moment = 0.00 μB/cell
ΔE to the lowest computed polymorph = 352.2 meV/atom
Formation enthalpy at 0 K = -0.035 eV/atom
SG = I4_1/amd, No. 141

---

The following is a PBE calculation of an optimized crystal structure of TlCoH3, from Alexandria.

a b c (Å): 3.9378 3.9378 3.9378
angles (deg): 90.00 90.00 90.00
Sites, in units of the cell vectors:
Tl 0.0000 0.0000 0.0000
Co 0.5000 0.5000 0.5000
H 0.0000 0.0000 0.5000
H 0.0000 0.5000 0.0000
H 0.5000 0.0000 0.0000

## Properties
Total magnetic moment = 2.25 μB/cell
ΔE to the lowest computed polymorph = 879.3 meV/atom
SG = Pm-3m, No. 221

---

The following is a PBE calculation of an optimized crystal structure of NaHfMgC2, from Alexandria.

a b c (Å): 4.2406 4.2406 5.0512
angles (deg): 90.00 90.00 90.00
Sites, in units of the cell vectors:
Na 0.0000 0.0000 0.0000
Hf 0.5000 0.5000 0.0000
Mg 0.5000 0.5000 0.5000
C 0.0000 0.5000 0.5000
C 0.5000 0.0000 0.5000

## Properties
Total magnetic moment = 0.00 μB/cell
Formation enthalpy at 0 K = 2.380 eV/atom
SG = P4/mmm, No. 123

---

The following is a PBE calculation of an optimized crystal structure of Y2ZnPd2, from Alexandria.

a b c (Å): 5.4777 5.4777 5.4777
angles (deg): 120.07 120.07 89.88
Sites, in units of the cell vectors:
Y 0.2500 0.7500 0.5000
Y 0.7500 0.2500 0.5000
Zn 0.0000 0.0000 0.0000
Pd 0.3333 0.3333 0.0000
Pd 0.6667 0.6667 0.0000

## Properties
Total magnetic moment = 0.00 μB/cell
Formation enthalpy at 0 K = -0.559 eV/atom
SG = I4/mmm, No. 139

---

The following is a PBE calculation of an optimized crystal structure of YWN3, from Alexandria.

a b c (Å): 3.4265 5.9695 6.6260
angles (deg): 90.00 90.00 90.00
Sites, in units of the cell vectors:
Y 0.2500 0.2500 0.1895
Y 0.7500 0.7500 0.8105
W 0.2500 0.7500 0.3087
W 0.7500 0.2500 0.6913
N 0.2500 0.1197 0.8366
N 0.2500 0.3803 0.8366
N 0.2500 0.7500 0.5770
N 0.7500 0.2500 0.4230
N 0.7500 0.6197 0.1634
N 0.7500 0.8803 0.1634

## Properties
Total magnetic moment = 0.00 μB/cell
Formation energy from raw total energies = -283 meV/atom
SG = Pmmn, No. 59

---

The following is a PBE calculation of an optimized crystal structure of Sm2CuGeSe5, from Alexandria.

a b c (Å): 9.2913 9.2913 11.7261
angles (deg): 90.00 90.00 154.52
Sites, in units of the cell vectors:
Sm 0.1133 0.8867 0.5000
Sm 0.1222 0.8778 0.1204
Sm 0.8778 0.1222 0.6204
Sm 0.8867 0.1133 0.0000
Cu 0.2562 0.7438 0.9365
Cu 0.7438 0.2562 0.4365
Ge 0.4095 0.5905 0.2942
Ge 0.5905 0.4095 0.7942
Se 0.0376 0.9624 0.8960
Se 0.3046 0.6954 0.1422
Se 0.3089 0.6911 0.4643
Se 0.3608 0.6392 0.8132
Se 0.4936 0.5064 0.1108
Se 0.5064 0.4936 0.6108
Se 0.6392 0.3608 0.3132
Se 0.6911 0.3089 0.9643
Se 0.6954 0.3046 0.6422
Se 0.9624 0.0376 0.3960

## Properties
Total magnetic moment = 0.00 μB/cell
Formation energy from raw total energies = -1088 meV/atom
SG = Cmc2_1, No. 36

---

The following is a PBE calculation of an optimized crystal structure of CaCuMo2, from Alexandria.

a b c (Å): 3.2504 4.3140 5.0224
angles (deg): 90.00 90.00 90.00
Sites, in units of the cell vectors:
Ca 0.0000 0.0000 0.0000
Cu 0.5000 0.5000 0.0000
Mo 0.0000 0.5000 0.5000
Mo 0.5000 0.0000 0.5000

## Properties
Total magnetic moment = 0.00 μB/cell
ΔE to the lowest computed polymorph = 253.0 meV/atom
Formation enthalpy at 0 K = 0.593 eV/atom
SG = Pmmm, No. 47

---

The following is a PBE calculation of an optimized crystal structure of TiCdPd6, from Alexandria.

a b c (Å): 4.7526 4.7526 7.2715
angles (deg): 107.03 107.03 69.31
Sites, in units of the cell vectors:
Ti 0.0000 0.0000 0.0000
Cd 0.5000 0.5000 0.5000
Pd 0.0696 0.5599 0.7104
Pd 0.3514 0.3514 0.0630
Pd 0.4401 0.9304 0.2896
Pd 0.5599 0.0696 0.7104
Pd 0.6486 0.6486 0.9370
Pd 0.9304 0.4401 0.2896

## Properties
Total magnetic moment = 0.00 μB/cell
ΔE to the lowest computed polymorph = 281.3 meV/atom
Formation enthalpy at 0 K = -0.193 eV/atom
SG = C2/m, No. 12

---

no.,uncorrected energy (eV per atom)
1,-10.449
2,-3.256
3,-5.778
4,-9.170
5,-5.161
6,-7.584
7,-2.115
8,-5.435
9,-5.243
10,-3.493
11,-6.545
12,-3.178
13,-4.501
14,-2.667
15,-3.883
16,-5.476
17,-9.162
18,-5.041
19,-6.347
20,-5.189